Here is a geometry-optimized Sr2SbPb structure from Alexandria. Energies are from PBE.

abc: 6.011 6.011 5.372
angles: 63.45 63.45 53.00
Atoms (fractional coordinates):
Pb 0.250 0.250 0.250
Sb 0.750 0.750 0.750
Sr 0.000 0.000 0.000
Sr 0.500 0.500 0.500

**Uncorrected formation energy**: -677 meV per atom
**Crystal system**: tetragonal
**Volume**: 134 Å³ per cell
**Total moment**: 0.00 μB per formula unit
**Excess energy over the best structure of this formula in the dataset**: 0.0148 eV per atom